(1)
VASP calculation (PBE) on crystalline CrPb at its relaxed geometry.

Cell and atoms, written as extended XYZ:
```
12
Lattice="3.242 0.000 0.000 0.000 4.645 0.000 0.000 0.000 17.305" Properties=species:S:1:pos:R:3 pbc="T T T"
Cr 0.000 0.010 12.245
Cr 1.621 4.635 13.713
Cr 1.621 4.635 3.592
Cr 0.000 0.010 5.061
Cr 0.000 3.190 0.000
Cr 1.621 1.455 8.653
Pb 0.000 2.297 14.498
Pb 1.621 2.348 11.460
Pb 1.621 2.348 5.845
Pb 0.000 2.297 2.808
Pb 0.000 3.809 8.653
Pb 1.621 0.837 0.000
```

- calculated formation energy (meV/atom) = 703
- density (g cm⁻³) = 9.910
- total moment (μB per atom) = 0.59

***

(2)
VASP calculation (PBE) on crystalline ScMnIN2 at its relaxed geometry.

Cell and atoms, written as extended XYZ:
```
5
Lattice="4.122 0.000 0.000 0.000 4.122 0.000 0.000 0.000 5.923" Properties=species:S:1:pos:R:3 pbc="T T T"
I 0.000 0.000 2.962
Sc 0.000 0.000 0.000
Mn 2.061 2.061 2.962
N 0.000 2.061 0.000
N 2.061 0.000 0.000
```

- density (g cm⁻³) = 4.204
- total moment (μB per atom) = 1.04
- formation energy from raw total energies (eV per formula unit) = 3.5
- E above lowest polymorph (eV per atom) = 0.1418

***

(3)
VASP calculation (PBE) on crystalline Mg4Cd9Hg11 at its relaxed geometry.

Cell and atoms, written as extended XYZ:
```
24
Lattice="3.330 0.000 0.000 0.000 12.484 -4.794 0.000 0.498 13.363" Properties=species:S:1:pos:R:3 pbc="T T T"
Mg 1.665 7.195 7.390
Mg 1.665 5.786 1.179
Mg 1.665 9.623 3.712
Mg 1.665 3.358 4.857
Cd 1.665 8.136 -1.073
Cd 1.665 4.845 9.643
Cd 1.665 2.210 7.903
Cd 1.665 10.771 0.666
Cd 1.665 10.281 8.713
Cd 1.665 2.700 -0.144
Cd 1.665 12.053 6.030
Cd 1.665 0.929 2.539
Cd 1.665 6.491 4.285
Hg 0.000 7.786 9.784
Hg 0.000 5.196 -1.215
Hg 0.000 12.056 3.314
Hg 0.000 0.925 5.255
Hg 0.000 8.173 1.737
Hg 0.000 4.809 6.832
Hg 0.000 10.673 -2.051
Hg 0.000 2.308 10.620
Hg 0.000 0.000 0.000
Hg 0.000 9.252 6.108
Hg 0.000 3.729 2.462
```

- calculated formation energy (meV/atom) = -38
- density (g cm⁻³) = 9.770
- total moment (μB per atom) = 0.00

***

(4)
VASP calculation (PBE) on crystalline CaPmI2 at its relaxed geometry.

Cell and atoms, written as extended XYZ:
```
4
Lattice="-3.694 0.366 1.580 -2.973 -2.429 -1.238 0.412 -7.900 7.940" Properties=species:S:1:pos:R:3 pbc="T T T"
I -0.375 -5.746 5.602
I -5.881 -4.218 2.680
Ca 0.000 0.000 0.000
Pm -3.128 -4.982 4.141
```

- density (g cm⁻³) = 4.716
- total moment (μB per atom) = 0.00
- formation energy from raw total energies (eV per formula unit) = -3.5

***

(5)
VASP calculation (PBE) on crystalline BaCa2H6 at its relaxed geometry.

Cell and atoms, written as extended XYZ:
```
9
Lattice="5.179 0.000 2.990 1.726 4.883 2.990 0.000 0.000 5.981" Properties=species:S:1:pos:R:3 pbc="T T T"
Ba 0.000 0.000 0.000
Ca 5.179 3.662 8.971
Ca 1.726 1.221 2.990
H 2.716 3.484 7.257
H 4.927 3.484 5.981
H 4.190 1.399 7.257
H 4.190 1.399 4.704
H 1.979 1.399 5.981
H 2.716 3.484 4.704
```

- density (g cm⁻³) = 2.454
- total moment (μB per atom) = 0.00
- E_tot (eV per formula unit) = -23.71

***

(6)
VASP calculation (PBE) on crystalline SrMg2Se at its relaxed geometry.

Cell and atoms, written as extended XYZ:
```
4
Lattice="9.219 -0.010 -0.006 8.352 3.903 -0.006 8.352 1.850 3.437" Properties=species:S:1:pos:R:3 pbc="T T T"
Mg 25.271 5.599 3.338
Mg 13.613 3.016 1.798
Se 6.481 1.436 0.856
Sr 19.442 4.307 2.568
```

- density (g cm⁻³) = 2.877
- total moment (μB per atom) = 0.00
- formation energy from raw total energies (eV per formula unit) = -2.0

***

(7)
VASP calculation (PBE) on crystalline YTeO at its relaxed geometry.

Cell and atoms, written as extended XYZ:
```
6
Lattice="-1.576 0.073 3.317 2.017 -2.898 -1.012 10.126 5.408 4.694" Properties=species:S:1:pos:R:3 pbc="T T T"
Y 0.891 -0.239 2.463
Y 9.675 2.822 4.537
Te 6.389 2.697 5.011
Te 4.177 -0.114 1.988
O 9.058 4.122 6.249
O 1.508 -1.540 0.751
```

- density (g cm⁻³) = 5.329
- total moment (μB per atom) = 0.00
- formation energy from raw total energies (eV per formula unit) = -6.3

***

(8)
VASP calculation (PBE) on crystalline KInGe at its relaxed geometry.

Cell and atoms, written as extended XYZ:
```
6
Lattice="7.122 0.080 -0.019 -2.421 6.778 0.009 -0.901 -1.568 4.230" Properties=species:S:1:pos:R:3 pbc="T T T"
Ge 4.316 1.083 1.092
Ge -0.113 5.087 3.425
K 0.016 3.245 0.144
K 3.158 4.892 2.379
In 1.383 -0.023 1.248
In 2.667 1.397 3.446
```

- calculated formation energy (meV/atom) = -46
- density (g cm⁻³) = 3.671
- total moment (μB per atom) = 0.00